Below is an optimized crystal structure of BAsIrO, with properties calculated at the PBE level.

Summary:
As for the polymorph energy (0 for the lowest one): 126.89 kJ per mole of atoms.

Cell and atoms, written as CIF:
```
data_BAsIrO
_chemical_formula_sum 'B2 As2 Ir2 O2'
_cell_length_a 3.2188
_cell_length_b 3.2188
_cell_length_c 9.4725
_cell_angle_alpha 90.00
_cell_angle_beta 90.00
_cell_angle_gamma 90.00
_space_group_name_H-M_alt 'P 4/n m m'
_space_group_IT_number 129
loop_
_space_group_symop_operation_xyz
'x,y,z'
'-x,-y,-z'
'-y+1/2,x,z'
'y+1/2,-x,-z'
'-x+1/2,-y+1/2,z'
'x+1/2,y+1/2,-z'
'y,-x+1/2,z'
'-y,x+1/2,-z'
'x+1/2,-y,-z'
'-x+1/2,y,z'
'-y,-x,-z'
'y,x,z'
'-x,y+1/2,-z'
'x,-y+1/2,z'
'y+1/2,x+1/2,-z'
'-y+1/2,-x+1/2,z'
loop_
_atom_site_label
_atom_site_fract_x
_atom_site_fract_y
_atom_site_fract_z
B1 0.2500 0.7500 0.0000
As1 0.2500 0.2500 0.1730
Ir1 0.2500 0.2500 0.6429
O1 0.2500 0.7500 0.5000
```

---

Below is an optimized crystal structure of BAsIrO, with properties calculated at the PBE level.

Summary:
As for the polymorph energy (0 for the lowest one): 57.55 kJ per mole of atoms.

Cell and atoms, written as CIF:
```
data_BAsIrO
_chemical_formula_sum 'B2 As2 Ir2 O2'
_cell_length_a 3.7087
_cell_length_b 3.7087
_cell_length_c 8.1503
_cell_angle_alpha 90.00
_cell_angle_beta 90.00
_cell_angle_gamma 90.00
_space_group_name_H-M_alt 'P 4/n m m'
_space_group_IT_number 129
loop_
_space_group_symop_operation_xyz
'x,y,z'
'-x,-y,-z'
'-y+1/2,x,z'
'y+1/2,-x,-z'
'-x+1/2,-y+1/2,z'
'x+1/2,y+1/2,-z'
'y,-x+1/2,z'
'-y,x+1/2,-z'
'x+1/2,-y,-z'
'-x+1/2,y,z'
'-y,-x,-z'
'y,x,z'
'-x,y+1/2,-z'
'x,-y+1/2,z'
'y+1/2,x+1/2,-z'
'-y+1/2,-x+1/2,z'
loop_
_atom_site_label
_atom_site_fract_x
_atom_site_fract_y
_atom_site_fract_z
B1 0.2500 0.2500 0.0516
As1 0.2500 0.2500 0.3078
Ir1 0.2500 0.7500 0.5000
O1 0.2500 0.7500 0.0000
```

---

Below is an optimized crystal structure of BAsIrO, with properties calculated at the PBE level.

Summary:
As for the polymorph energy (0 for the lowest one): 17.07 kJ per mole of atoms.

Cell and atoms, written as CIF:
```
data_BAsIrO
_chemical_formula_sum 'B2 As2 Ir2 O2'
_cell_length_a 2.6782
_cell_length_b 6.6262
_cell_length_c 5.5988
_cell_angle_alpha 90.00
_cell_angle_beta 90.00
_cell_angle_gamma 90.00
_space_group_name_H-M_alt 'P m c 21'
_space_group_IT_number 26
loop_
_space_group_symop_operation_xyz
'x,y,z'
'-x,-y,z+1/2'
'-x,y,z'
'x,-y,z+1/2'
loop_
_atom_site_label
_atom_site_fract_x
_atom_site_fract_y
_atom_site_fract_z
B1 0.0000 0.1173 0.0000
As1 0.0000 0.1864 0.3655
Ir1 0.5000 0.4846 0.4001
O1 0.5000 0.1909 0.8990
```

---

Below is an optimized crystal structure of BAsIrO, with properties calculated at the PBE level.

Summary:
As for the polymorph energy (0 for the lowest one): 0.00 kJ per mole of atoms.

Cell and atoms, written as CIF:
```
data_BAsIrO
_chemical_formula_sum 'B2 As2 Ir2 O2'
_cell_length_a 2.9003
_cell_length_b 8.2784
_cell_length_c 4.4818
_cell_angle_alpha 90.00
_cell_angle_beta 90.00
_cell_angle_gamma 90.00
_space_group_name_H-M_alt 'P m c 21'
_space_group_IT_number 26
loop_
_space_group_symop_operation_xyz
'x,y,z'
'-x,-y,z+1/2'
'-x,y,z'
'x,-y,z+1/2'
loop_
_atom_site_label
_atom_site_fract_x
_atom_site_fract_y
_atom_site_fract_z
B1 0.0000 0.0796 0.0000
As1 0.5000 0.2808 0.9288
Ir1 0.5000 0.4187 0.4385
O1 0.0000 0.0439 0.2991
```

---

Below is an optimized crystal structure of BAsIrO, with properties calculated at the PBE level.

Summary:
As for the polymorph energy (0 for the lowest one): 127.69 kJ per mole of atoms.

Cell and atoms, written as CIF:
```
data_BAsIrO
_chemical_formula_sum 'B2 As2 Ir2 O2'
_cell_length_a 3.2723
_cell_length_b 3.2723
_cell_length_c 9.1849
_cell_angle_alpha 90.00
_cell_angle_beta 90.00
_cell_angle_gamma 90.00
_space_group_name_H-M_alt 'P 4/n m m'
_space_group_IT_number 129
loop_
_space_group_symop_operation_xyz
'x,y,z'
'-x,-y,-z'
'-y+1/2,x,z'
'y+1/2,-x,-z'
'-x+1/2,-y+1/2,z'
'x+1/2,y+1/2,-z'
'y,-x+1/2,z'
'-y,x+1/2,-z'
'x+1/2,-y,-z'
'-x+1/2,y,z'
'-y,-x,-z'
'y,x,z'
'-x,y+1/2,-z'
'x,-y+1/2,z'
'y+1/2,x+1/2,-z'
'-y+1/2,-x+1/2,z'
loop_
_atom_site_label
_atom_site_fract_x
_atom_site_fract_y
_atom_site_fract_z
B1 0.2500 0.7500 0.0000
As1 0.2500 0.2500 0.1712
Ir1 0.2500 0.2500 0.6437
O1 0.2500 0.7500 0.5000
```

---

Below is an optimized crystal structure of TbSmB2As2Ir2, with properties calculated at the PBE level.

Summary:
The value obtained for the electronic total energy is -7.078 eV per atom.

Cell and atoms, written as CIF:
```
data_TbSmB2As2Ir2
_chemical_formula_sum 'Tb1 Sm1 B2 As2 Ir2'
_cell_length_a 3.9992
_cell_length_b 3.9992
_cell_length_c 8.6566
_cell_angle_alpha 90.00
_cell_angle_beta 90.00
_cell_angle_gamma 90.00
_space_group_name_H-M_alt 'P 4 m m'
_space_group_IT_number 99
loop_
_space_group_symop_operation_xyz
'x,y,z'
'-y,x,z'
'-x,-y,z'
'y,-x,z'
'-x,y,z'
'y,x,z'
'x,-y,z'
'-y,-x,z'
loop_
_atom_site_label
_atom_site_fract_x
_atom_site_fract_y
_atom_site_fract_z
Tb1 0.0000 0.0000 0.0000
Sm1 0.5000 0.5000 0.4172
B1 0.0000 0.0000 0.6025
B2 0.5000 0.5000 0.8126
As1 0.0000 0.0000 0.3516
As2 0.5000 0.5000 0.0607
Ir1 0.0000 0.5000 0.7091
```

---

Below is an optimized crystal structure of LaPrNi2B2As2, with properties calculated at the PBE level.

Summary:
The value obtained for the electronic total energy is -6.047 eV per atom.

Cell and atoms, written as CIF:
```
data_LaPrNi2B2As2
_chemical_formula_sum 'La1 Pr1 Ni2 B2 As2'
_cell_length_a 4.1146
_cell_length_b 4.1146
_cell_length_c 8.1557
_cell_angle_alpha 90.00
_cell_angle_beta 90.00
_cell_angle_gamma 90.00
_space_group_name_H-M_alt 'P 4 m m'
_space_group_IT_number 99
loop_
_space_group_symop_operation_xyz
'x,y,z'
'-y,x,z'
'-x,-y,z'
'y,-x,z'
'-x,y,z'
'y,x,z'
'x,-y,z'
'-y,-x,z'
loop_
_atom_site_label
_atom_site_fract_x
_atom_site_fract_y
_atom_site_fract_z
La1 0.0000 0.0000 0.0000
Pr1 0.5000 0.5000 0.4327
Ni1 0.0000 0.5000 0.7160
B1 0.0000 0.0000 0.6367
B2 0.5000 0.5000 0.7989
As1 0.0000 0.0000 0.3801
As2 0.5000 0.5000 0.0561
```

---

Below is an optimized crystal structure of LuBAs, with properties calculated at the PBE level.

Summary:
The value obtained for the electronic total energy is -5.135 eV per atom.

Cell and atoms, written as CIF:
```
data_LuBAs
_chemical_formula_sum 'Lu4 B4 As4'
_cell_length_a 5.9699
_cell_length_b 5.9699
_cell_length_c 5.9699
_cell_angle_alpha 90.00
_cell_angle_beta 90.00
_cell_angle_gamma 90.00
_space_group_name_H-M_alt 'F -4 3 m'
_space_group_IT_number 216
_space_group_name_Hall 'F -4 2 3'
loop_
_atom_site_label
_atom_site_fract_x
_atom_site_fract_y
_atom_site_fract_z
Lu1 0.0000 0.0000 0.0000
B1 0.2500 0.2500 0.7500
As1 0.0000 0.0000 0.5000
```

---

Below is an optimized crystal structure of Lu3B2As, with properties calculated at the PBE level.

Summary:
The value obtained for the electronic total energy is -5.496 eV per atom.

Cell and atoms, written as CIF:
```
data_Lu3B2As
_chemical_formula_sum 'Lu6 B4 As2'
_cell_length_a 3.5586
_cell_length_b 3.5586
_cell_length_c 21.0306
_cell_angle_alpha 90.00
_cell_angle_beta 90.00
_cell_angle_gamma 120.00
_space_group_name_H-M_alt 'P 63/m m c'
_space_group_IT_number 194
_space_group_name_Hall '-P 6c 2c'
loop_
_atom_site_label
_atom_site_fract_x
_atom_site_fract_y
_atom_site_fract_z
Lu1 0.0000 0.0000 0.0000
Lu2 0.3333 0.6667 0.1529
B1 0.3333 0.6667 0.5802
As1 0.0000 0.0000 0.2500
```

---

Below is an optimized crystal structure of LuBAsO, with properties calculated at the PBE level.

Summary:
The value obtained for the electronic total energy is -6.490 eV per atom.

Cell and atoms, written as CIF:
```
data_LuBAsO
_chemical_formula_sum 'Lu2 B2 As2 O2'
_cell_length_a 3.9554
_cell_length_b 3.9554
_cell_length_c 7.0943
_cell_angle_alpha 90.00
_cell_angle_beta 90.00
_cell_angle_gamma 90.00
_space_group_name_H-M_alt 'P 4/n m m'
_space_group_IT_number 129
loop_
_space_group_symop_operation_xyz
'x,y,z'
'-x,-y,-z'
'-y+1/2,x,z'
'y+1/2,-x,-z'
'-x+1/2,-y+1/2,z'
'x+1/2,y+1/2,-z'
'y,-x+1/2,z'
'-y,x+1/2,-z'
'x+1/2,-y,-z'
'-x+1/2,y,z'
'-y,-x,-z'
'y,x,z'
'-x,y+1/2,-z'
'x,-y+1/2,z'
'y+1/2,x+1/2,-z'
'-y+1/2,-x+1/2,z'
loop_
_atom_site_label
_atom_site_fract_x
_atom_site_fract_y
_atom_site_fract_z
Lu1 0.2500 0.2500 0.1404
B1 0.2500 0.7500 0.5000
As1 0.2500 0.2500 0.6292
O1 0.2500 0.7500 0.0000
```

---

Below is an optimized crystal structure of MgBAsOs, with properties calculated at the PBE level.

Summary:
As for the polymorph energy (0 for the lowest one): 0.00 kJ per mole of atoms.

Cell and atoms, written as CIF:
```
data_MgBAsOs
_chemical_formula_sum 'Mg4 B4 As4 Os4'
_cell_length_a 5.9593
_cell_length_b 5.9593
_cell_length_c 5.9593
_cell_angle_alpha 90.00
_cell_angle_beta 90.00
_cell_angle_gamma 90.00
_space_group_name_H-M_alt 'F -4 3 m'
_space_group_IT_number 216
_space_group_name_Hall 'F -4 2 3'
loop_
_atom_site_label
_atom_site_fract_x
_atom_site_fract_y
_atom_site_fract_z
Mg1 0.0000 0.0000 0.0000
B1 0.2500 0.2500 0.2500
As1 0.2500 0.2500 0.7500
Os1 0.0000 0.0000 0.5000
```

---

Below is an optimized crystal structure of MgBAsOs, with properties calculated at the PBE level.

Summary:
As for the polymorph energy (0 for the lowest one): 46.50 kJ per mole of atoms.

Cell and atoms, written as CIF:
```
data_MgBAsOs
_chemical_formula_sum 'Mg4 B4 As4 Os4'
_cell_length_a 6.0964
_cell_length_b 6.0964
_cell_length_c 6.0964
_cell_angle_alpha 90.00
_cell_angle_beta 90.00
_cell_angle_gamma 90.00
_space_group_name_H-M_alt 'F -4 3 m'
_space_group_IT_number 216
_space_group_name_Hall 'F -4 2 3'
loop_
_atom_site_label
_atom_site_fract_x
_atom_site_fract_y
_atom_site_fract_z
Mg1 0.0000 0.0000 0.0000
B1 0.2500 0.2500 0.2500
As1 0.0000 0.0000 0.5000
Os1 0.2500 0.2500 0.7500
```

---

Repeat the eighth record exactly.
Below is an optimized crystal structure of LuBAs, with properties calculated at the PBE level.

Summary:
The value obtained for the electronic total energy is -5.135 eV per atom.

Cell and atoms, written as CIF:
```
data_LuBAs
_chemical_formula_sum 'Lu4 B4 As4'
_cell_length_a 5.9699
_cell_length_b 5.9699
_cell_length_c 5.9699
_cell_angle_alpha 90.00
_cell_angle_beta 90.00
_cell_angle_gamma 90.00
_space_group_name_H-M_alt 'F -4 3 m'
_space_group_IT_number 216
_space_group_name_Hall 'F -4 2 3'
loop_
_atom_site_label
_atom_site_fract_x
_atom_site_fract_y
_atom_site_fract_z
Lu1 0.0000 0.0000 0.0000
B1 0.2500 0.2500 0.7500
As1 0.0000 0.0000 0.5000
```